Below is a relaxed structure of SmTm5Ag4, with properties calculated at the PBE-GGA level.

Fermi-level density of states, states/eV per cell: 7.79
E, eV/atom: -4.11
Symmetry: P4/mmm (123)
Formation energy, eV/atom: -0.2600

a b c (Å): 3.562 3.562 19.583
angles (deg): 90.00 90.00 90.00
Fractional positions:
Tm 0.500 0.500 0.871
Ag 0.000 0.000 0.593
Ag 0.000 0.000 0.407
Ag 0.000 0.000 0.221
Tm 0.500 0.500 0.129
Tm 0.500 0.500 0.500
Sm 0.000 0.000 0.000
Ag 0.000 0.000 0.779
Tm 0.500 0.500 0.313
Tm 0.500 0.500 0.687